[1]
Compound: Tl4Pb
Source: Alexandria
Functional: PBE
Structure: optimized geometry

Values from the calculation:
Energy of formation from the pure elements (eV per atom): 0.37
SG: Pm-3m
ΔE to the lowest computed polymorph (eV per atom): 0.3603
ρ (g/cm³): 7.9
Final energy (eV/atom): -2.27
Size of the total moment (μB per cell): 0.00

a b c (Å): 6.0042 6.0042 6.0042
angles (deg): 90.00 90.00 90.00
With the nearest neighbours (Å) after each atom.
Atoms (fractional coordinates):
1 Pb 0.5000 0.5000 0.5000  6 Tl 3.00
2 Tl 0.0000 0.0000 0.0000  12 Tl 4.25
3 Tl 0.5000 0.0000 0.5000  2 Pb 3.00
4 Tl 0.0000 0.5000 0.5000  2 Pb 3.00
5 Tl 0.5000 0.5000 0.0000  2 Pb 3.00



[2]
Compound: TlPb3
Source: Alexandria
Functional: PBE
Structure: optimized geometry

Values from the calculation:
Energy of formation from the pure elements (eV per atom): 0.00
SG: R-3m
ρ (g/cm³): 10.8
Final energy (eV/atom): -3.37
Size of the total moment (μB per cell): 0.00

a b c (Å): 11.8566 11.8566 11.8566
angles (deg): 17.18 17.18 17.18
With the nearest neighbours (Å) after each atom.
Atoms (fractional coordinates):
1 Pb 0.7504 0.7504 0.7504  9 Pb 3.54-3.55, 3 Tl 3.58
2 Pb 0.5001 0.5001 0.5001  12 Pb 3.54-3.55
3 Pb 0.2497 0.2497 0.2497  9 Pb 3.54-3.55, 3 Tl 3.57
4 Tl 0.0000 0.0000 0.0000  6 Tl 3.54, 6 Pb 3.57-3.58



Among the records above, which one has the highest final energy? Tl4Pb